Entry 1:
! SiAg2Bi2 | the Alexandria database | GGA-PBE | optimized geometry; values from VASP
! formation energy (no corrections) = 0.318 eV per atom
! D(E_F) = 2.00 states/eV per cell
! density = 9.22 g cm⁻³
! total DFT energy (no corrections) = -3.4593 eV/atom
! space-group type = P4/mbm (127)
&SYSTEM
  ibrav = 0, nat = 10, ntyp = 3
/
ATOMIC_SPECIES
Si 28.09 Si.upf
Ag 107.87 Ag.upf
Bi 208.98 Bi.upf
ATOMIC_POSITIONS crystal
Si 0.000 0.000 0.000
Si 0.500 0.500 0.000
Ag 0.144 0.356 0.000
Ag 0.356 0.856 0.000
Ag 0.644 0.144 0.000
Ag 0.856 0.644 0.000
Bi 0.173 0.673 0.500
Bi 0.327 0.173 0.500
Bi 0.673 0.827 0.500
Bi 0.827 0.327 0.500
CELL_PARAMETERS angstrom
7.011 0.000 0.000
0.000 7.011 0.000
0.000 0.000 4.851

Entry 2:
! KIrRu | the Alexandria database | GGA-PBE | optimized geometry; values from VASP
! E_form = 585.7 meV/atom
! D(E_F) = 5.19 states/eV per cell
! density = 6.04 g cm⁻³
! total DFT energy (no corrections) = -5.8258 eV/atom
! space-group type = P-1 (2)
&SYSTEM
  ibrav = 0, nat = 6, ntyp = 3
/
ATOMIC_SPECIES
K 39.10 K.upf
Ir 192.22 Ir.upf
Ru 101.07 Ru.upf
ATOMIC_POSITIONS crystal
K 0.180 0.228 0.307
K 0.820 0.772 0.693
Ir 0.485 0.366 0.907
Ir 0.515 0.634 0.093
Ru 0.165 0.028 0.909
Ru 0.835 0.972 0.091
CELL_PARAMETERS angstrom
4.227 0.000 0.000
1.918 3.814 0.000
0.708 1.205 11.327

Entry 3:
! Zr2NbTc | the Alexandria database | GGA-PBE | optimized geometry; values from VASP
! E_form = -72.1 meV/atom
! D(E_F) = 7.29 states/eV per cell
! density = 8.14 g cm⁻³
! total DFT energy (no corrections) = -9.4551 eV/atom
! space-group type = P4/mmm (123)
&SYSTEM
  ibrav = 0, nat = 4, ntyp = 3
/
ATOMIC_SPECIES
Zr 91.22 Zr.upf
Nb 92.91 Nb.upf
Tc 98.00 Tc.upf
ATOMIC_POSITIONS crystal
Zr 0.000 0.500 0.000
Zr 0.500 0.000 0.000
Nb 0.000 0.000 0.500
Tc 0.500 0.500 0.500
CELL_PARAMETERS angstrom
4.744 0.000 0.000
0.000 4.744 0.000
0.000 0.000 3.382

Entry 4:
! In2GeOs | the Alexandria database | GGA-PBE | optimized geometry; values from VASP
! E_form = 126.6 meV/atom
! D(E_F) = 3.17 states/eV per cell
! density = 9.94 g cm⁻³
! total DFT energy (no corrections) = -5.2044 eV/atom
! space-group type = Cm (8)
&SYSTEM
  ibrav = 0, nat = 8, ntyp = 3
/
ATOMIC_SPECIES
In 114.82 In.upf
Ge 72.64 Ge.upf
Os 190.23 Os.upf
ATOMIC_POSITIONS crystal
In 0.000 0.000 0.000
In 0.044 0.044 0.336
In 0.270 0.270 0.173
In 0.699 0.699 0.829
Ge 0.238 0.238 0.575
Ge 0.975 0.975 0.607
Os 0.416 0.416 0.778
Os 0.787 0.787 0.404
CELL_PARAMETERS angstrom
4.944 -1.603 0.000
4.944 1.603 0.000
-1.570 0.000 10.384

Calculated M_tot (μB per formula unit), listed in the same order as above: 0.0, 0.0, 0.0, 0.0